1.
# AlFe2CuH | Alexandria via LeMat-Bulk | PBE-GGA | optimized geometry
# - DFT total energy: -5.71 eV/atom
# - Density of states at the Fermi level: 3.66 states/eV per cell
data_AlFe2CuH
_chemical_formula_sum 'Al1 Fe2 Cu1 H1'
_cell_length_a 3.6194
_cell_length_b 3.6194
_cell_length_c 3.8761
_cell_angle_alpha 90.00
_cell_angle_beta 90.00
_cell_angle_gamma 90.00
_space_group_name_H-M_alt 'P 4/m m m'
_space_group_IT_number 123
_space_group_name_Hall '-P 4 2'
loop_
_atom_site_label
_atom_site_fract_x
_atom_site_fract_y
_atom_site_fract_z
_atom_site_occupancy
Al1 0.0000 0.0000 0.0000 1
Fe1 0.0000 0.5000 0.5000 1
Cu1 0.5000 0.5000 0.0000 1
H1 0.5000 0.5000 0.5000 1

2.
# Al3GaI | Alexandria via LeMat-Bulk | PBE-GGA | optimized geometry
# - ΔE_f (raw): 0.405 eV per atom
# - Density of states at the Fermi level: 3.35 states/eV per cell
data_Al3GaI
_chemical_formula_sum 'Al3 Ga1 I1'
_cell_length_a 5.0985
_cell_length_b 5.0985
_cell_length_c 5.0985
_cell_angle_alpha 90.00
_cell_angle_beta 90.00
_cell_angle_gamma 90.00
_space_group_name_H-M_alt 'P m -3 m'
_space_group_IT_number 221
_space_group_name_Hall '-P 4 2 3'
loop_
_atom_site_label
_atom_site_fract_x
_atom_site_fract_y
_atom_site_fract_z
_atom_site_occupancy
Al1 0.0000 0.0000 0.5000 1
Ga1 0.0000 0.0000 0.0000 1
I1 0.5000 0.5000 0.5000 1

3.
# YSnRu | Alexandria via LeMat-Bulk | PBE-GGA | optimized geometry
# - Formation energy: -0.351 eV/atom
# - Density of states at the Fermi level: 8.86 states/eV per cell
data_YSnRu
_chemical_formula_sum 'Y4 Sn4 Ru4'
_cell_length_a 6.5700
_cell_length_b 6.5700
_cell_length_c 6.5700
_cell_angle_alpha 90.00
_cell_angle_beta 90.00
_cell_angle_gamma 90.00
_space_group_name_H-M_alt 'F -4 3 m'
_space_group_IT_number 216
_space_group_name_Hall 'F -4 2 3'
loop_
_atom_site_label
_atom_site_fract_x
_atom_site_fract_y
_atom_site_fract_z
_atom_site_occupancy
Y1 0.0000 0.0000 0.0000 1
Sn1 0.0000 0.0000 0.5000 1
Ru1 0.2500 0.2500 0.7500 1

4.
# V2PSe2 | Alexandria via LeMat-Bulk | PBE-GGA | optimized geometry
# - ΔE_f (raw): 0.191 eV per atom
# - Density of states at the Fermi level: 7.55 states/eV per cell
data_V2PSe2
_chemical_formula_sum 'V4 P2 Se4'
_cell_length_a 3.9472
_cell_length_b 3.9472
_cell_length_c 11.2851
_cell_angle_alpha 90.00
_cell_angle_beta 90.00
_cell_angle_gamma 90.00
_space_group_name_H-M_alt 'I 4/m m m'
_space_group_IT_number 139
_space_group_name_Hall '-I 4 2'
loop_
_atom_site_label
_atom_site_fract_x
_atom_site_fract_y
_atom_site_fract_z
_atom_site_occupancy
V1 0.0000 0.0000 0.1139 1
P1 0.0000 0.0000 0.5000 1
Se1 0.0000 0.5000 0.2500 1

Repeat the fourth record exactly.
# V2PSe2 | Alexandria via LeMat-Bulk | PBE-GGA | optimized geometry
# - ΔE_f (raw): 0.191 eV per atom
# - Density of states at the Fermi level: 7.55 states/eV per cell
data_V2PSe2
_chemical_formula_sum 'V4 P2 Se4'
_cell_length_a 3.9472
_cell_length_b 3.9472
_cell_length_c 11.2851
_cell_angle_alpha 90.00
_cell_angle_beta 90.00
_cell_angle_gamma 90.00
_space_group_name_H-M_alt 'I 4/m m m'
_space_group_IT_number 139
_space_group_name_Hall '-I 4 2'
loop_
_atom_site_label
_atom_site_fract_x
_atom_site_fract_y
_atom_site_fract_z
_atom_site_occupancy
V1 0.0000 0.0000 0.1139 1
P1 0.0000 0.0000 0.5000 1
Se1 0.0000 0.5000 0.2500 1

What did the first record say?
# AlFe2CuH | Alexandria via LeMat-Bulk | PBE-GGA | optimized geometry
# - DFT total energy: -5.71 eV/atom
# - Density of states at the Fermi level: 3.66 states/eV per cell
data_AlFe2CuH
_chemical_formula_sum 'Al1 Fe2 Cu1 H1'
_cell_length_a 3.6194
_cell_length_b 3.6194
_cell_length_c 3.8761
_cell_angle_alpha 90.00
_cell_angle_beta 90.00
_cell_angle_gamma 90.00
_space_group_name_H-M_alt 'P 4/m m m'
_space_group_IT_number 123
_space_group_name_Hall '-P 4 2'
loop_
_atom_site_label
_atom_site_fract_x
_atom_site_fract_y
_atom_site_fract_z
_atom_site_occupancy
Al1 0.0000 0.0000 0.0000 1
Fe1 0.0000 0.5000 0.5000 1
Cu1 0.5000 0.5000 0.0000 1
H1 0.5000 0.5000 0.5000 1

> The lowest density of states at the Fermi level belongs to which entry?

Al3GaI

What did the fourth record say?
# V2PSe2 | Alexandria via LeMat-Bulk | PBE-GGA | optimized geometry
# - ΔE_f (raw): 0.191 eV per atom
# - Density of states at the Fermi level: 7.55 states/eV per cell
data_V2PSe2
_chemical_formula_sum 'V4 P2 Se4'
_cell_length_a 3.9472
_cell_length_b 3.9472
_cell_length_c 11.2851
_cell_angle_alpha 90.00
_cell_angle_beta 90.00
_cell_angle_gamma 90.00
_space_group_name_H-M_alt 'I 4/m m m'
_space_group_IT_number 139
_space_group_name_Hall '-I 4 2'
loop_
_atom_site_label
_atom_site_fract_x
_atom_site_fract_y
_atom_site_fract_z
_atom_site_occupancy
V1 0.0000 0.0000 0.1139 1
P1 0.0000 0.0000 0.5000 1
Se1 0.0000 0.5000 0.2500 1